Record 1
The following is a PBE calculation of an optimized crystal structure of ReNi2AsCl, from Alexandria via LeMat-Bulk.

The structure in extended XYZ format:
```
5
Lattice="4.7178 0.0000 0.0000 0.0000 4.3300 0.0000 0.0000 0.0000 4.7178" Properties=species:S:1:pos:R:3 pbc="T T T"
Re 0.0000 0.0000 0.0000
Ni 2.3589 0.0000 0.0000
As 2.3589 2.1650 2.3589
Cl 0.0000 2.1650 0.0000
Ni 0.0000 0.0000 2.3589
```

**Uncorrected formation energy**: 1.22 eV per atom
**Total magnetization**: 0.00 μB per cell
**Space group**: No. 123

Record 2
The following is a PBE calculation of an optimized crystal structure of TiTc2Ag, from Alexandria via LeMat-Bulk.

The structure in extended XYZ format:
```
4
Lattice="2.2187 -0.4860 3.8282 -2.1820 -1.1442 3.7073 0.5584 -4.0549 1.7495" Properties=species:S:1:pos:R:3 pbc="T T T"
Tc 0.1488 -1.4213 2.3213
Ti 0.0000 0.0000 0.0000
Ag 0.2975 -2.8426 4.6425
Tc 0.4463 -4.2639 6.9638
```

**DFT formation energy**: 343 meV per atom
**Total magnetization**: 0.00 μB per cell
**Space group**: No. 225
**Distance to the lowest polymorph of the same formula**: 0.000 eV/atom

Record 3
The following is a PBE calculation of an optimized crystal structure of Na2Sr2Pb, from Alexandria via LeMat-Bulk.

The structure in extended XYZ format:
```
10
Lattice="-6.8253 3.6978 -4.1651 -3.5128 -7.9703 -1.3196 -2.9013 0.4286 5.1348" Properties=species:S:1:pos:R:3 pbc="T T T"
Na -4.7506 -4.4088 1.0887
Sr -2.2929 -2.0954 -1.1207
Na -8.4888 0.5648 -1.4386
Sr -5.0870 1.1569 -2.9709
Na -4.3687 0.3210 0.9097
Sr -8.0452 -2.1771 -4.3641
Sr -5.2511 -5.4294 -2.5139
Pb 0.0000 0.0000 0.0000
Pb -5.1691 -2.1363 -2.7424
Na -8.8707 -4.1650 -1.2597
```

**DFT formation energy**: 4 meV per atom
**Total magnetization**: 0.00 μB per cell
**Space group**: No. 127
**Distance to the lowest polymorph of the same formula**: 0.132 eV/atom

Record 4
The following is a PBE calculation of an optimized crystal structure of V3CuSe, from Alexandria via LeMat-Bulk.

The structure in extended XYZ format:
```
5
Lattice="4.5361 0.0000 0.0000 0.0000 4.5361 0.0000 0.0000 0.0000 4.5361" Properties=species:S:1:pos:R:3 pbc="T T T"
V 0.0000 0.0000 2.2680
V 0.0000 2.2680 0.0000
V 2.2680 0.0000 0.0000
Se 2.2680 2.2680 2.2680
Cu 0.0000 0.0000 0.0000
```

**Uncorrected formation energy**: 1.04 eV per atom
**Total magnetization**: 6.23 μB per cell
**Space group**: No. 221
**Distance to the lowest polymorph of the same formula**: 0.238 eV/atom